Entry from Alexandria: a relaxed FeTcI2O crystal (PBE with a Hubbard U).

The structure in extended XYZ format:
```
5
Lattice="5.6054 0.0000 0.0000 0.0000 5.6054 0.0000 0.0000 0.0000 3.7851" Properties=species:S:1:pos:R:3 pbc="T T T"
Fe 0.0000 0.0000 0.0000
Tc 2.8027 2.8027 1.8925
I 0.0000 2.8027 1.8925
I 2.8027 0.0000 1.8925
O 2.8027 2.8027 0.0000
```

* E: -4.744 eV per atom
* DOS at the Fermi energy: 0.87 states/eV per atom
* V: 23.8 Å³/atom
* mass density: 5.92 g/cm3